Compound: CuP3N
Source: Alexandria
Functional: PBE-GGA
Structure: optimized geometry

SG ... Pm-3m (221)
Final energy ... -3.777 eV per atom
E above lowest polymorph ... 4.86 eV per formula unit
Size of the total moment ... 0.0 μB per formula unit
Formation energy without anion corrections ... 1.9533 eV/atom

a b c (Å): 4.396 4.396 4.396
angles (deg): 90.00 90.00 90.00
Fractional coordinates of all 5 atoms:
Cu1 0.000 0.000 0.000
P1 0.000 0.000 0.500
P2 0.000 0.500 0.000
P3 0.500 0.000 0.000
N1 0.500 0.500 0.500

=====

Compound: Pt3Br5
Source: Alexandria
Functional: PBE-GGA
Structure: optimized geometry

SG ... P6_3/mcm (193)
Final energy ... -2.884 eV per atom
E above lowest polymorph ... 2.98 eV per formula unit
Size of the total moment ... 0.0 μB per formula unit
Formation energy without anion corrections ... 0.4266 eV/atom

a b c (Å): 7.430 7.430 7.904
angles (deg): 90.00 90.00 120.00
Fractional coordinates of all 16 atoms:
Pt1 0.000 0.408 0.250
Pt2 0.000 0.592 0.750
Pt3 0.408 0.000 0.250
Pt4 0.408 0.408 0.750
Pt5 0.592 0.000 0.750
Pt6 0.592 0.592 0.250
Br1 0.000 0.255 0.750
Br2 0.000 0.745 0.250
Br3 0.255 0.000 0.750
Br4 0.255 0.255 0.250
Br5 0.333 0.667 0.000
Br6 0.333 0.667 0.500
Br7 0.667 0.333 0.000
Br8 0.667 0.333 0.500
Br9 0.745 0.000 0.250
Br10 0.745 0.745 0.750

=====

Compound: ErLuRh
Source: Alexandria
Functional: PBE-GGA
Structure: optimized geometry

SG ... F-43m (216)
Formation energy from the elements ... -652 meV per atom
Final energy ... -6.130 eV per atom
E above lowest polymorph ... 0.00 eV per formula unit
Size of the total moment ... 0.0 μB per formula unit

a b c (Å): 4.738 4.738 4.738
angles (deg): 60.00 60.00 60.00
Fractional coordinates of all 3 atoms:
Er1 0.000 0.000 0.000
Lu1 0.500 0.500 0.500
Rh1 0.750 0.750 0.750

=====

Compound: LaOs4Pt
Source: Alexandria
Functional: PBE-GGA
Structure: optimized geometry

SG ... F-43m (216)
Formation energy from the elements ... 404 meV per atom
Final energy ... -8.911 eV per atom
Size of the total moment ... 0.0 μB per formula unit

a b c (Å): 5.326 5.326 5.326
angles (deg): 60.00 60.00 60.00
Fractional coordinates of all 6 atoms:
La1 0.000 0.000 0.000
Os1 0.131 0.623 0.623
Os2 0.623 0.131 0.623
Os3 0.623 0.623 0.131
Os4 0.623 0.623 0.623
Pt1 0.250 0.250 0.250

=====

Compound: Cd2HgAu
Source: Alexandria
Functional: PBE-GGA
Structure: optimized geometry

SG ... P2_1/m (11)
Formation energy from the elements ... -58 meV per atom
Final energy ... -1.410 eV per atom
E above lowest polymorph ... 0.10 eV per formula unit
Size of the total moment ... 0.0 μB per formula unit

a b c (Å): 5.598 4.629 6.805
angles (deg): 90.00 99.39 90.00
Fractional coordinates of all 8 atoms:
Cd1 0.173 0.250 0.456
Cd2 0.193 0.250 0.942
Cd3 0.807 0.750 0.058
Cd4 0.827 0.750 0.544
Hg1 0.328 0.750 0.218
Hg2 0.672 0.250 0.782
Au1 0.339 0.750 0.707
Au2 0.661 0.250 0.293

=====

Compound: Pm6Tl2N
Source: Alexandria
Functional: PBE-GGA
Structure: optimized geometry

SG ... Fm-3m (225)
Final energy ... -5.142 eV per atom
E above lowest polymorph ... 0.00 eV per formula unit
Size of the total moment ... 0.0 μB per formula unit
Formation energy without anion corrections ... -0.5237 eV/atom

a b c (Å): 7.099 7.099 7.099
angles (deg): 60.00 60.00 60.00
Fractional coordinates of all 9 atoms:
Pm1 0.244 0.244 0.756
Pm2 0.244 0.756 0.244
Pm3 0.244 0.756 0.756
Pm4 0.756 0.244 0.244
Pm5 0.756 0.244 0.756
Pm6 0.756 0.756 0.244
Tl1 0.250 0.250 0.250
Tl2 0.750 0.750 0.750
N1 0.000 0.000 0.000

=====

Compound: LaY2Ho4
Source: Alexandria
Functional: PBE-GGA
Structure: optimized geometry

SG ... P2_1/m (11)
Formation energy from the elements ... 121 meV per atom
Final energy ... -5.045 eV per atom
E above lowest polymorph ... 0.65 eV per formula unit
Size of the total moment ... 0.0 μB per formula unit

a b c (Å): 6.155 6.578 11.469
angles (deg): 90.00 103.53 90.00
Fractional coordinates of all 14 atoms:
La1 0.051 0.250 0.363
La2 0.949 0.750 0.637
Y1 0.152 0.250 0.951
Y2 0.392 0.750 0.510
Y3 0.608 0.250 0.490
Y4 0.848 0.750 0.049
Ho1 0.149 0.250 0.665
Ho2 0.287 0.750 0.923
Ho3 0.354 0.510 0.211
Ho4 0.354 0.990 0.211
Ho5 0.646 0.010 0.789
Ho6 0.646 0.490 0.789
Ho7 0.713 0.250 0.077
Ho8 0.851 0.750 0.335

=====

Compound: ZnCu2Mo
Source: Alexandria
Functional: PBE-GGA
Structure: optimized geometry

SG ... P4/mmm (123)
Formation energy from the elements ... 61 meV per atom
Final energy ... -5.013 eV per atom
Size of the total moment ... 0.0 μB per formula unit

a b c (Å): 2.677 2.677 7.493
angles (deg): 90.00 90.00 90.00
Fractional coordinates of all 4 atoms:
Zn1 0.000 0.000 0.000
Cu1 0.500 0.500 0.238
Cu2 0.500 0.500 0.762
Mo1 0.000 0.000 0.500

=====

Compound: ZrZn2Co
Source: Alexandria
Functional: PBE-GGA
Structure: optimized geometry

SG ... C2/m (12)
Formation energy from the elements ... -104 meV per atom
Final energy ... -4.654 eV per atom
Size of the total moment ... 0.0 μB per formula unit

a b c (Å): 4.970 4.970 4.302
angles (deg): 107.88 107.88 38.04
Fractional coordinates of all 4 atoms:
Zr1 0.000 0.000 0.000
Zn1 0.230 0.230 0.716
Zn2 0.770 0.770 0.284
Co1 0.500 0.500 0.500

=====

Compound: Cr
Source: Alexandria
Functional: PBE-GGA
Structure: optimized geometry

SG ... Fd-3m (227)
Formation energy from the elements ... 2147 meV per atom
Final energy ... -7.476 eV per atom
E above lowest polymorph ... 2.15 eV per formula unit
Size of the total moment ... 0.0 μB per formula unit

a b c (Å): 3.608 3.608 3.608
angles (deg): 60.00 60.00 60.00
Fractional coordinates of all 2 atoms:
Cr1 0.125 0.125 0.125
Cr2 0.875 0.875 0.875

=====

Compound: ReNiAu2
Source: Alexandria
Functional: PBE-GGA
Structure: optimized geometry

SG ... Cm (8)
Formation energy from the elements ... 364 meV per atom
Final energy ... -5.832 eV per atom
E above lowest polymorph ... 0.78 eV per formula unit
Size of the total moment ... 0.0 μB per formula unit

a b c (Å): 4.781 4.781 5.007
angles (deg): 98.86 98.86 33.32
Fractional coordinates of all 4 atoms:
Re1 0.000 0.000 0.000
Ni1 0.731 0.731 0.205
Au1 0.244 0.244 0.745
Au2 0.481 0.481 0.471

=====

Compound: La12Dy7Mg
Source: Alexandria
Functional: PBE-GGA
Structure: optimized geometry

SG ... R-3m (166)
Formation energy from the elements ... 150 meV per atom
Final energy ... -4.497 eV per atom
Size of the total moment ... 0.0 μB per formula unit

a b c (Å): 11.565 11.565 11.565
angles (deg): 116.77 116.77 116.77
Fractional coordinates of all 20 atoms:
La1 0.000 0.409 0.591
La2 0.000 0.591 0.409
La3 0.074 0.074 0.425
La4 0.074 0.425 0.074
La5 0.409 0.000 0.591
La6 0.409 0.591 0.000
La7 0.425 0.074 0.074
La8 0.575 0.926 0.926
La9 0.591 0.000 0.409
La10 0.591 0.409 0.000
La11 0.926 0.575 0.926
La12 0.926 0.926 0.575
Dy1 0.000 0.000 0.000
Dy2 0.149 0.391 0.391
Dy3 0.391 0.149 0.391
Dy4 0.391 0.391 0.149
Dy5 0.609 0.609 0.851
Dy6 0.609 0.851 0.609
Dy7 0.851 0.609 0.609
Mg1 0.500 0.500 0.500

=====

Compound: Ac3Cu3Au2
Source: Alexandria
Functional: PBE-GGA
Structure: optimized geometry

SG ... Cmcm (63)
Formation energy from the elements ... -459 meV per atom
Final energy ... -4.355 eV per atom
Size of the total moment ... 0.0 μB per formula unit

a b c (Å): 6.072 6.072 16.353
angles (deg): 90.00 90.00 136.29
Fractional coordinates of all 16 atoms:
Ac1 0.101 0.899 0.750
Ac2 0.375 0.625 0.590
Ac3 0.375 0.625 0.910
Ac4 0.625 0.375 0.090
Ac5 0.625 0.375 0.410
Ac6 0.899 0.101 0.250
Cu1 0.081 0.919 0.550
Cu2 0.081 0.919 0.950
Cu3 0.187 0.813 0.250
Cu4 0.813 0.187 0.750
Cu5 0.919 0.081 0.050
Cu6 0.919 0.081 0.450
Au1 0.331 0.669 0.114
Au2 0.331 0.669 0.386
Au3 0.669 0.331 0.614
Au4 0.669 0.331 0.886

=====

Compound: AcNd2Cu
Source: Alexandria
Functional: PBE-GGA
Structure: optimized geometry

SG ... Pnma (62)
Formation energy from the elements ... -45 meV per atom
Final energy ... -4.480 eV per atom
E above lowest polymorph ... 0.00 eV per formula unit
Size of the total moment ... 0.0 μB per formula unit

a b c (Å): 7.247 10.543 6.658
angles (deg): 90.00 90.00 90.00
Fractional coordinates of all 16 atoms:
Ac1 0.026 0.250 0.140
Ac2 0.474 0.750 0.640
Ac3 0.526 0.250 0.360
Ac4 0.974 0.750 0.860
Nd1 0.185 0.057 0.671
Nd2 0.185 0.443 0.671
Nd3 0.315 0.557 0.171
Nd4 0.315 0.943 0.171
Nd5 0.685 0.057 0.829
Nd6 0.685 0.443 0.829
Nd7 0.815 0.557 0.329
Nd8 0.815 0.943 0.329
Cu1 0.103 0.750 0.406
Cu2 0.397 0.250 0.906
Cu3 0.603 0.750 0.094
Cu4 0.897 0.250 0.594

=====

Compound: LiSmAg2F6
Source: Alexandria
Functional: PBE-GGA
Structure: optimized geometry

SG ... P2_1/c (14)
Final energy ... -4.912 eV per atom
Size of the total moment ... 0.0 μB per formula unit
Formation energy without anion corrections ... -2.5555 eV/atom

a b c (Å): 5.783 5.970 10.115
angles (deg): 90.00 123.05 90.00
Fractional coordinates of all 20 atoms:
Li1 0.000 0.000 0.000
Li2 0.000 0.500 0.500
Sm1 0.500 0.000 0.500
Sm2 0.500 0.500 0.000
Ag1 0.225 0.056 0.749
Ag2 0.225 0.444 0.249
Ag3 0.775 0.556 0.751
Ag4 0.775 0.944 0.251
F1 0.134 0.215 0.442
F2 0.134 0.285 0.942
F3 0.223 0.698 0.437
F4 0.223 0.802 0.937
F5 0.361 0.043 0.243
F6 0.361 0.457 0.743
F7 0.639 0.543 0.257
F8 0.639 0.957 0.757
F9 0.777 0.198 0.063
F10 0.777 0.302 0.563
F11 0.866 0.715 0.058
F12 0.866 0.785 0.558

=====

Compound: RbCaN2F
Source: Alexandria
Functional: PBE-GGA
Structure: optimized geometry

SG ... P4/mmm (123)
Final energy ... -3.496 eV per atom
E above lowest polymorph ... 5.03 eV per formula unit
Size of the total moment ... 2.0 μB per formula unit
Formation energy without anion corrections ... 0.8025 eV/atom

a b c (Å): 4.455 4.455 4.881
angles (deg): 90.00 90.00 90.00
Fractional coordinates of all 5 atoms:
Rb1 0.000 0.000 0.000
Ca1 0.500 0.500 0.500
N1 0.000 0.500 0.000
N2 0.500 0.000 0.000
F1 0.000 0.000 0.500

=====

Compound: La2HfGeRu
Source: Alexandria
Functional: PBE-GGA
Structure: optimized geometry

SG ... P4/mmm (123)
Formation energy from the elements ... 657 meV per atom
Final energy ... -6.083 eV per atom
Size of the total moment ... 0.5 μB per formula unit

a b c (Å): 5.735 5.735 4.677
angles (deg): 90.00 90.00 90.00
Fractional coordinates of all 5 atoms:
La1 0.000 0.500 0.000
La2 0.500 0.000 0.000
Hf1 0.000 0.000 0.000
Ge1 0.500 0.500 0.500
Ru1 0.000 0.000 0.500

=====

Compound: Sr3OsO6
Source: Alexandria
Functional: PBE-GGA
Structure: optimized geometry

SG ... R-3 (148)
Final energy ... -6.805 eV per atom
Size of the total moment ... 2.0 μB per formula unit
Formation energy without anion corrections ... -2.2023 eV/atom

a b c (Å): 6.892 6.892 6.892
angles (deg): 92.04 92.04 92.04
Fractional coordinates of all 20 atoms:
Sr1 0.065 0.756 0.567
Sr2 0.244 0.433 0.935
Sr3 0.433 0.935 0.244
Sr4 0.567 0.065 0.756
Sr5 0.756 0.567 0.065
Sr6 0.935 0.244 0.433
Os1 0.000 0.000 0.000
Os2 0.500 0.500 0.500
O1 0.048 0.728 0.927
O2 0.073 0.952 0.272
O3 0.230 0.433 0.557
O4 0.272 0.073 0.952
O5 0.433 0.557 0.230
O6 0.443 0.770 0.567
O7 0.557 0.230 0.433
O8 0.567 0.443 0.770
O9 0.728 0.927 0.048
O10 0.770 0.567 0.443
O11 0.927 0.048 0.728
O12 0.952 0.272 0.073

=====

Compound: Cs2RbHg2I6
Source: Alexandria
Functional: PBE-GGA
Structure: optimized geometry

SG ... C2/m (12)
Final energy ... -2.056 eV per atom
Size of the total moment ... 0.0 μB per formula unit
Formation energy without anion corrections ... -0.9126 eV/atom

a b c (Å): 8.521 8.521 10.322
angles (deg): 111.87 111.87 63.00
Fractional coordinates of all 11 atoms:
Cs1 0.208 0.208 0.202
Cs2 0.792 0.792 0.798
Rb1 0.000 0.000 0.500
Hg1 0.477 0.477 0.851
Hg2 0.523 0.523 0.149
I1 0.146 0.703 0.166
I2 0.276 0.276 0.614
I3 0.297 0.854 0.834
I4 0.703 0.146 0.166
I5 0.724 0.724 0.386
I6 0.854 0.297 0.834

=====

Compound: Ba2MgMoRu
Source: Alexandria
Functional: PBE-GGA
Structure: optimized geometry

SG ... P4/mmm (123)
Formation energy from the elements ... 1720 meV per atom
Final energy ... -3.389 eV per atom
Size of the total moment ... 5.5 μB per formula unit

a b c (Å): 6.323 6.323 5.064
angles (deg): 90.00 90.00 90.00
Fractional coordinates of all 5 atoms:
Ba1 0.000 0.500 0.000
Ba2 0.500 0.000 0.000
Mg1 0.000 0.000 0.000
Mo1 0.000 0.000 0.500
Ru1 0.500 0.500 0.500